DFT (PBE) results for a relaxed structure of CsLaSb2I.

```
CsLaSb2I
1.0
6.0180 0.0000 0.0000
0.0000 6.0180 0.0000
0.0000 0.0000 6.4090
Cs La Sb I
1 1 2 1
direct
0.0000 0.0000 0.0000
0.5000 0.5000 0.5000
0.0000 0.5000 0.0000
0.5000 0.0000 0.0000
0.0000 0.0000 0.5000
```

Results
Uncorrected formation energy: 0.53 eV per atom
Total magnetic moment: 0.14 μB/f.u.
Calculated volume: 46.4 A^3/atom
Raw total energy: -2.586 eV/atom